Record 1
VASP calculation (SCAN) on a crystal of CoSeN3 relaxed with PBEsol.

a b c (Å): 3.6880 3.6880 3.6880
angles (deg): 90.00 90.00 90.00
Closest atoms and distances in Å follow each position.
Positions (direct):
Co1 0.0000 0.0000 0.0000  6 N 1.84
N1 0.5000 0.0000 0.0000  2 Co 1.84
N2 0.0000 0.0000 0.5000  2 Co 1.84
Se1 0.5000 0.5000 0.5000  12 N 2.61
N3 0.0000 0.5000 0.0000  2 Co 1.84

Total DFT energy (no corrections), eV per cell: -57.358
Space-group type: Pm-3m
Formation energy from raw total energies, eV/atom: 1.580
Fermi-level density of states, states/eV/atom: 0.44

***

Record 2
VASP calculation (SCAN) on a crystal of CoSe2N2 relaxed with PBEsol.

a b c (Å): 3.2868 4.6594 4.6594
angles (deg): 90.00 90.00 90.00
Closest atoms and distances in Å follow each position.
Positions (direct):
Se1 0.0000 0.5000 0.0000  2 Co 2.33
Se2 0.0000 0.0000 0.5000  2 Co 2.33
Co1 0.0000 0.0000 0.0000  2 N 1.64
N1 0.5000 0.0000 0.0000  2 Co 1.64
N2 0.5000 0.5000 0.5000  8 Se 2.85

Total DFT energy (no corrections), eV per cell: -68.364
Space-group type: P4/mmm
Formation energy from raw total energies, eV/atom: 1.536
ΔE to the lowest computed polymorph, eV per atom: 0.505
Fermi-level density of states, states/eV/atom: 0.62

***

Record 3
VASP calculation (SCAN) on a crystal of CoSiSeN2 relaxed with PBEsol.

a b c (Å): 3.6010 3.6010 4.9024
angles (deg): 90.00 90.00 90.00
Closest atoms and distances in Å follow each position.
Positions (direct):
Se1 0.0000 0.0000 0.5000  2 Co 2.45, 4 Si 2.55
N1 0.0000 0.5000 0.0000  2 Co 1.80
N2 0.5000 0.0000 0.0000  2 Co 1.80
Si1 0.5000 0.5000 0.5000  4 Se 2.55
Co1 0.0000 0.0000 0.0000  4 N 1.80

Total DFT energy (no corrections), eV per cell: -60.601
Space-group type: P4/mmm
Formation energy from raw total energies, eV/atom: 1.076
Fermi-level density of states, states/eV/atom: 0.41

***

Record 4
VASP calculation (SCAN) on a crystal of CoSiSe2N relaxed with PBEsol.

a b c (Å): 3.3477 4.8377 4.8377
angles (deg): 90.00 90.00 90.00
Closest atoms and distances in Å follow each position.
Positions (direct):
Se1 0.0000 0.5000 0.0000  2 Co 2.42
Si1 0.5000 0.5000 0.5000  8 Se 2.94
N1 0.5000 0.0000 0.0000  2 Co 1.67
Se2 0.0000 0.0000 0.5000  2 Co 2.42
Co1 0.0000 0.0000 0.0000  2 N 1.67

Total DFT energy (no corrections), eV per cell: -73.976
Space-group type: P4/mmm
Formation energy from raw total energies, eV/atom: 0.558
ΔE to the lowest computed polymorph, eV per atom: 0.163
Fermi-level density of states, states/eV/atom: 0.43

***

Record 5
VASP calculation (SCAN) on a crystal of CoSiSe2N relaxed with PBEsol.

a b c (Å): 3.2206 4.9766 4.9766
angles (deg): 90.00 90.00 90.00
Closest atoms and distances in Å follow each position.
Positions (direct):
Si1 0.0000 0.0000 0.0000  2 N 1.61
N1 0.5000 0.0000 0.0000  2 Si 1.61
Se1 0.0000 0.0000 0.5000  2 Si 2.49
Se2 0.0000 0.5000 0.0000  2 Si 2.49
Co1 0.5000 0.5000 0.5000  8 Se 2.96, 2 Co 3.22

Total DFT energy (no corrections), eV per cell: -74.791
Space-group type: P4/mmm
Formation energy from raw total energies, eV/atom: 0.395
ΔE to the lowest computed polymorph, eV per atom: 0.000
Fermi-level density of states, states/eV/atom: 0.36

***

Record 6
VASP calculation (SCAN) on a crystal of ZnCoSeN2 relaxed with PBEsol.

a b c (Å): 3.5579 3.5579 5.1508
angles (deg): 90.00 90.00 90.00
Closest atoms and distances in Å follow each position.
Positions (direct):
N1 0.0000 0.5000 0.0000  2 Co 1.78
N2 0.5000 0.0000 0.0000  2 Co 1.78
Zn1 0.5000 0.5000 0.5000  4 Se 2.52
Co1 0.0000 0.0000 0.0000  4 N 1.78
Se1 0.0000 0.0000 0.5000  4 Zn 2.52, 2 Co 2.58

Total DFT energy (no corrections), eV per cell: -65.135
Space-group type: P4/mmm
Formation energy from raw total energies, eV/atom: 0.869
Fermi-level density of states, states/eV/atom: 0.59

***

Record 7
VASP calculation (SCAN) on a crystal of CoSiTeN2 relaxed with PBEsol.

a b c (Å): 3.4685 3.4685 6.3769
angles (deg): 90.00 90.00 90.00
Closest atoms and distances in Å follow each position.
Positions (direct):
N1 0.0000 0.5000 0.0000  2 Si 1.73
Te1 0.0000 0.0000 0.5000  4 Co 2.45
Co1 0.5000 0.5000 0.5000  4 Te 2.45
Si1 0.0000 0.0000 0.0000  4 N 1.73
N2 0.5000 0.0000 0.0000  2 Si 1.73

Total DFT energy (no corrections), eV per cell: -79.989
Space-group type: P4/mmm
Formation energy from raw total energies, eV/atom: 0.633
Fermi-level density of states, states/eV/atom: 0.55

***

Record 8
VASP calculation (SCAN) on a crystal of SrCoN2 relaxed with PBEsol.

a b c (Å): 5.2564 5.8759 7.9296
angles (deg): 90.00 90.00 115.51
Closest atoms and distances in Å follow each position.
Positions (direct):
N1 0.1960 0.1452 0.6905  2 Co 1.74-1.75
Sr1 0.8336 0.6738 0.5982  6 N 2.56-2.73
N2 0.6960 0.1452 0.8095  2 Co 1.74-1.75
Sr2 0.3336 0.6738 0.9018  6 N 2.56-2.73
N3 0.3590 0.7515 0.5663  2 Co 1.85
Sr3 0.6664 0.3262 0.0982  6 N 2.56-2.73
Co1 0.4819 0.0843 0.6327  4 N 1.74-1.85
N4 0.8040 0.8548 0.3095  2 Co 1.74-1.75
N5 0.8590 0.7515 0.9337  2 Co 1.85
N6 0.3040 0.8548 0.1905  2 Co 1.74-1.75
N7 0.1410 0.2485 0.0663  2 Co 1.85
Co2 0.5181 0.9157 0.3673  4 N 1.74-1.85
Co3 0.0181 0.9157 0.1327  4 N 1.74-1.85
Co4 0.9819 0.0843 0.8673  4 N 1.74-1.85
N8 0.6410 0.2485 0.4337  2 Co 1.85
Sr4 0.1664 0.3262 0.4018  6 N 2.56-2.73

Total DFT energy (no corrections), eV per cell: -239.283
Space-group type: P2_1/c
Formation energy from raw total energies, eV/atom: -0.415
Fermi-level density of states, states/eV/atom: 0.29